1.
First-principles (PBE) data for an optimized crystal structure of Ta3Nb2B6, as listed in OQMD via LeMat-Bulk.

a = 3.1617 Å, b = 22.7853 Å, c = 3.3043 Å
α = 90.00°, β = 90.00°, γ = 90.00°
Space group Cmmm (No. 65)
Unique sites:
Ta 0.0000 0.0000 0.0000 x2
Ta 0.0000 0.1946 0.5000 x4
Nb 0.0000 0.3855 0.0000 x4
B 0.0000 0.0819 0.5000 x4
B 0.0000 0.2730 0.0000 x4
B 0.0000 0.4606 0.5000 x4

* DFT total energy: -9.49 eV/atom



2.
First-principles (PBE) data for an optimized crystal structure of TaNbB, as listed in OQMD via LeMat-Bulk.

a = 5.9497 Å, b = 5.9497 Å, c = 5.9497 Å
α = 90.00°, β = 90.00°, γ = 90.00°
Space group F-43m (No. 216)
Unique sites:
Ta 0.0000 0.0000 0.0000 x4
Nb 0.2500 0.2500 0.2500 x4
B 0.2500 0.2500 0.7500 x4

* DFT total energy: -7.98 eV/atom